Sr2H2Pd | GGA-PBEsol | relaxed

POSCAR file:
```
Sr2H2Pd
1.0
-2.7912 -0.1959 -2.6148
2.2216 -2.2052 -2.2063
-2.0947 -4.1383 5.3507
Sr H Pd
2 2 1
Direct
0.6393 0.6393 0.2786
0.3607 0.3607 0.7214
0.2500 0.7500 0.5000
0.7500 0.2500 0.5000
0.0000 0.0000 0.0000
```

SG = No. 139
VASP energy = -18.49 eV for the cell shown
DOS(E_F) = 0.08 states/eV per atom